Entry 1:
{"formula": "Li2Cd2SnGePd2", "functional": "PBE-GGA", "state": "relaxed", "dft_energy_ev_per_atom": -3.49, "cell": [[4.586, 0.000, 0.000], [0.000, 4.586, 0.000], [0.000, 0.000, 6.548]], "species": ["Li", "Li", "Cd", "Cd", "Sn", "Ge", "Pd", "Pd"], "fractional_positions": [[0.000, 0.500, 0.232], [0.500, 0.000, 0.768], [0.000, 0.000, 0.000], [0.500, 0.500, 0.500], [0.000, 0.000, 0.500], [0.500, 0.500, 0.000], [0.000, 0.500, 0.762], [0.500, 0.000, 0.238]]}

---

Entry 2:
{"formula": "Li4CdGe2Pt", "functional": "PBE-GGA", "state": "relaxed", "dft_energy_ev_per_atom": -3.45, "magnetic_moment_mub_per_cell": 0.00, "cell": [[4.383, 0.000, 0.000], [0.000, 4.383, 0.000], [0.000, 0.000, 6.307]], "species": ["Li", "Li", "Li", "Li", "Cd", "Ge", "Ge", "Pt"], "fractional_positions": [[0.000, 0.000, 0.000], [0.000, 0.500, 0.731], [0.500, 0.000, 0.269], [0.500, 0.500, 0.500], [0.500, 0.500, 0.000], [0.000, 0.500, 0.276], [0.500, 0.000, 0.724], [0.000, 0.000, 0.500]]}

---

Entry 3:
{"formula": "Li4Cd2GePt", "functional": "PBE-GGA", "state": "relaxed", "dft_energy_ev_per_atom": -2.89, "magnetic_moment_mub_per_cell": 0.01, "cell": [[4.503, 0.000, 0.000], [0.000, 4.503, 0.000], [0.000, 0.000, 6.439]], "species": ["Li", "Li", "Li", "Li", "Cd", "Cd", "Ge", "Pt"], "fractional_positions": [[0.000, 0.000, 0.000], [0.000, 0.500, 0.740], [0.500, 0.000, 0.260], [0.500, 0.500, 0.500], [0.000, 0.500, 0.252], [0.500, 0.000, 0.748], [0.500, 0.500, 0.000], [0.000, 0.000, 0.500]]}

---

Entry 4:
{"formula": "Li2Cd2SnGePt2", "functional": "PBE-GGA", "state": "relaxed", "dft_energy_ev_per_atom": -3.73, "magnetic_moment_mub_per_cell": 0.00, "cell": [[4.587, 0.000, 0.000], [0.000, 4.587, 0.000], [0.000, 0.000, 6.546]], "species": ["Li", "Li", "Cd", "Cd", "Sn", "Ge", "Pt", "Pt"], "fractional_positions": [[0.000, 0.500, 0.229], [0.500, 0.000, 0.771], [0.000, 0.000, 0.000], [0.500, 0.500, 0.500], [0.000, 0.000, 0.500], [0.500, 0.500, 0.000], [0.000, 0.500, 0.763], [0.500, 0.000, 0.237]]}

---

Entry 5:
{"formula": "LuCdGe2", "functional": "PBE-GGA", "state": "relaxed", "dft_energy_ev_per_atom": -3.71, "magnetic_moment_mub_per_cell": 0.01, "cell": [[0.000, 3.517, 3.517], [3.517, 0.000, 3.517], [3.517, 3.517, 0.000]], "species": ["Lu", "Cd", "Ge", "Ge"], "fractional_positions": [[0.000, 0.000, 0.000], [0.750, 0.750, 0.750], [0.250, 0.250, 0.250], [0.500, 0.500, 0.500]]}

---

Entry 6:
{"formula": "LuCdNiGe", "functional": "PBE-GGA", "state": "relaxed", "dft_energy_ev_per_atom": -4.09, "magnetic_moment_mub_per_cell": 0.00, "cell": [[0.000, 3.316, 3.316], [3.316, 0.000, 3.316], [3.316, 3.316, 0.000]], "species": ["Lu", "Cd", "Ni", "Ge"], "fractional_positions": [[0.000, 0.000, 0.000], [0.750, 0.750, 0.750], [0.500, 0.500, 0.500], [0.250, 0.250, 0.250]]}